1.
A geometry-optimized SbIrPd2W structure. Source: the Alexandria database, functional PBE-GGA.

Properties
Spin magnetization = 0.029 μB/cell
Formation energy from raw total energies = 1219 meV per atom
DOS at the Fermi energy = 1.2283 states/eV/atom

Cell: 4.925 4.642 4.925 Å, 90.00 90.00 90.00°
Positions (direct):
Pd1 0.500 0.000 0.000
Ir1 0.000 0.000 0.000
Sb1 0.500 0.500 0.500
Pd2 0.000 0.000 0.500
W1 0.000 0.500 0.000


2.
A geometry-optimized PaTlHgCl6 structure. Source: the Alexandria database, functional PBE-GGA.

Properties
Spin magnetization = 0.000 μB/cell
Formation energy from raw total energies = -1487 meV per atom

Cell: 7.976 7.976 14.870 Å, 90.00 90.00 120.00°
Positions (direct):
Tl1 0.667 0.333 0.750
Cl1 0.654 0.064 0.349
Cl2 0.410 0.346 0.349
Cl3 0.936 0.346 0.151
Cl4 0.590 0.936 0.849
Cl5 0.346 0.936 0.651
Cl6 0.410 0.064 0.151
Pa1 0.667 0.333 0.250
Cl7 0.346 0.410 0.849
Cl8 0.936 0.590 0.349
Tl2 0.333 0.667 0.250
Pa2 0.333 0.667 0.750
Hg1 0.000 0.000 0.500
Cl9 0.064 0.654 0.849
Hg2 0.000 0.000 0.000
Cl10 0.590 0.654 0.651
Cl11 0.064 0.410 0.651
Cl12 0.654 0.590 0.151


3.
A geometry-optimized LiHfAgIr2 structure. Source: the Alexandria database, functional PBE-GGA.

Properties
Calculated total energy = -0.2197 hartree per atom
Spin magnetization = 0.000 μB/cell
DOS at the Fermi energy = 0.1694 states/eV/atom

Cell: 4.248 4.347 4.248 Å, 90.00 90.00 90.00°
Positions (direct):
Ag1 0.500 0.500 0.500
Ir1 0.000 0.000 0.500
Ir2 0.500 0.000 0.000
Hf1 0.000 0.500 0.000
Li1 0.000 0.000 0.000


4.
A geometry-optimized ThPaO6 structure. Source: the Alexandria database, functional PBE-GGA.

Properties
Spin magnetization = 3.015 μB/cell
Formation energy from raw total energies = -2552 meV per atom
DOS at the Fermi energy = 0.3996 states/eV/atom

Cell: 6.398 6.398 6.637 Å, 51.18 51.18 36.38°
Site moments in Bohr magnetons follow the coordinates.
Positions (direct):
O1 0.563 0.563 0.108  0.15
Th1 0.000 0.000 0.000  0.00
O2 0.739 0.739 0.289  0.67
Pa1 0.500 0.500 0.500  -0.06
O3 0.916 0.916 0.458  0.47
O4 0.084 0.084 0.542  0.47
O5 0.437 0.437 0.892  0.15
O6 0.261 0.261 0.711  0.67


5.
A geometry-optimized CePaFeTc structure. Source: the Alexandria database, functional PBE-GGA.

Properties
Calculated total energy = -0.3137 hartree per atom
Spin magnetization = 0.587 μB/cell
DOS at the Fermi energy = 1.2472 states/eV/atom

Cell: 4.812 4.812 4.812 Å, 60.00 60.00 60.00°
Site moments in Bohr magnetons follow the coordinates.
Positions (direct):
Tc1 0.250 0.250 0.250  0.18
Pa1 0.500 0.500 0.500  -0.36
Ce1 0.000 0.000 0.000  -0.30
Fe1 0.750 0.750 0.750  1.27


6.
A geometry-optimized Al2Ru2Br structure. Source: the Alexandria database, functional PBE-GGA.

Properties
Excess energy over the best structure of this formula in the dataset = 210 meV per atom
Spin magnetization = 0.000 μB/cell
Formation energy from raw total energies = 212 meV per atom
DOS at the Fermi energy = 0.8990 states/eV/atom

Cell: 3.616 3.616 6.906 Å, 74.82 74.82 90.00°
Positions (direct):
Ru1 0.391 0.391 0.218
Al1 0.750 0.250 0.500
Br1 0.000 0.000 0.000
Ru2 0.609 0.609 0.782
Al2 0.250 0.750 0.500


7.
A geometry-optimized Th5Bi4Se structure. Source: the Alexandria database, functional PBE-GGA.

Properties
Spin magnetization = 0.000 μB/cell
Formation energy from raw total energies = -719 meV per atom
DOS at the Fermi energy = 0.7547 states/eV/atom

Cell: 4.483 4.483 16.558 Å, 97.78 97.78 90.00°
Positions (direct):
Th1 0.291 0.291 0.582
Bi1 0.604 0.604 0.207
Bi2 0.396 0.396 0.793
Th2 0.500 0.500 0.000
Bi3 0.810 0.810 0.620
Th3 0.089 0.089 0.177
Bi4 0.190 0.190 0.380
Th4 0.709 0.709 0.418
Se1 0.000 0.000 0.000
Th5 0.911 0.911 0.823


8.
A geometry-optimized BaBO2 structure. Source: the Alexandria database, functional PBE-GGA.

Properties
Spin magnetization = 0.000 μB/cell
Formation energy from raw total energies = -1451 meV per atom
DOS at the Fermi energy = 0.4252 states/eV/atom

Cell: 5.137 5.137 5.140 Å, 60.02 60.02 90.00°
Positions (direct):
Ba1 0.000 0.000 0.000
O1 0.375 0.125 0.250
Ba2 0.750 0.250 0.500
O2 0.875 0.625 0.750
O3 0.375 0.625 0.250
O4 0.375 0.625 0.750
B1 0.250 0.750 0.500
B2 0.500 0.500 0.000


9.
A geometry-optimized KAuI2 structure. Source: the Alexandria database, functional PBE-GGA.

Properties
Excess energy over the best structure of this formula in the dataset = 412 meV per atom
Spin magnetization = 0.000 μB/cell
Formation energy from raw total energies = -345 meV per atom
DOS at the Fermi energy = 0.0957 states/eV/atom

Cell: 5.694 5.694 5.694 Å, 60.00 60.00 60.00°
Positions (direct):
I1 0.750 0.750 0.750
Au1 0.500 0.500 0.500
I2 0.250 0.250 0.250
K1 0.000 0.000 0.000


10.
A geometry-optimized MgAsAu structure. Source: the Alexandria database, functional PBE-GGA.

Properties
Calculated total energy = -0.1242 hartree per atom
Spin magnetization = 0.000 μB/cell
DOS at the Fermi energy = 0.3621 states/eV/atom

Cell: 4.268 4.268 6.438 Å, 90.00 90.00 90.00°
Positions (direct):
Mg1 0.500 0.500 0.500
Mg2 0.000 0.000 0.500
Au1 0.000 0.500 0.787
As1 0.500 0.000 0.797
Au2 0.500 0.000 0.213
As2 0.000 0.500 0.203


11.
A geometry-optimized TeO2F2 structure. Source: the Alexandria database, functional PBE-GGA.

Properties
Excess energy over the best structure of this formula in the dataset = 0 meV per atom
Spin magnetization = 0.697 μB/cell
Formation energy from raw total energies = -722 meV per atom
DOS at the Fermi energy = 1.4194 states/eV/atom

Cell: 3.882 3.882 4.199 Å, 90.00 90.00 90.00°
Site moments in Bohr magnetons follow the coordinates.
Positions (direct):
Te1 0.000 0.000 0.000  -0.01
F1 0.500 0.500 0.500  -0.49
F2 0.000 0.000 0.500  0.00
O1 0.500 0.000 0.000  -0.06
O2 0.000 0.500 0.000  -0.06


12.
A geometry-optimized PmScPt4 structure. Source: the Alexandria database, functional PBE-GGA.

Properties
Calculated total energy = -0.2532 hartree per atom
Spin magnetization = 0.000 μB/cell
DOS at the Fermi energy = 0.3271 states/eV/atom

Cell: 5.414 5.414 5.414 Å, 60.00 60.00 60.00°
Positions (direct):
Pm1 0.250 0.250 0.250
Pt1 0.625 0.124 0.625
Pt2 0.124 0.625 0.625
Sc1 0.000 0.000 0.000
Pt3 0.625 0.625 0.124
Pt4 0.625 0.625 0.625


13.
A geometry-optimized La3Ge4Rh4 structure. Source: the Alexandria database, functional PBE-GGA.

Properties
Calculated total energy = -0.2437 hartree per atom
Spin magnetization = 0.000 μB/cell
DOS at the Fermi energy = 0.5094 states/eV/atom

Cell: 4.188 4.268 13.121 Å, 99.42 99.22 90.03°
Positions (direct):
Rh1 0.601 0.101 0.200
La1 0.000 0.000 0.000
Rh2 0.399 0.899 0.800
Rh3 0.250 0.250 0.500
Ge1 0.698 0.198 0.397
Ge2 0.302 0.802 0.603
La2 0.144 0.644 0.289
Rh4 0.750 0.750 0.500
Ge3 0.548 0.549 0.098
La3 0.856 0.356 0.711
Ge4 0.452 0.451 0.902


14.
A geometry-optimized CsNiHg2Se structure. Source: the Alexandria database, functional PBE-GGA.

Properties
Spin magnetization = 0.385 μB/cell
Formation energy from raw total energies = -257 meV per atom
DOS at the Fermi energy = 0.9137 states/eV/atom

Cell: 5.309 5.309 4.971 Å, 90.00 90.00 90.00°
Site moments in Bohr magnetons follow the coordinates.
Positions (direct):
Ni1 0.000 0.000 0.000  0.29
Hg1 0.000 0.500 0.000  0.01
Se1 0.000 0.000 0.500  0.06
Cs1 0.500 0.500 0.500  0.00
Hg2 0.500 0.000 0.000  0.01


15.
A geometry-optimized TbCePr2P4 structure. Source: the Alexandria database, functional PBE-GGA.

Properties
Calculated total energy = -0.2484 hartree per atom
Spin magnetization = 0.390 μB/cell
DOS at the Fermi energy = 0.6597 states/eV/atom

Cell: 4.128 7.138 7.156 Å, 109.38 90.00 90.00°
Site moments in Bohr magnetons follow the coordinates.
Positions (direct):
Tb1 0.000 0.000 0.000  0.00
P1 0.500 0.247 0.239  -0.01
Ce1 0.500 0.500 0.000  0.35
P2 0.500 0.753 0.761  -0.01
P3 0.000 0.254 0.761  -0.01
P4 0.000 0.746 0.239  -0.01
Pr1 0.000 0.500 0.500  0.00
Pr2 0.500 0.000 0.500  0.01


16.
A geometry-optimized MoRhPb2N structure. Source: the Alexandria database, functional PBE-GGA.

Properties
Spin magnetization = 0.001 μB/cell
Formation energy from raw total energies = 599 meV per atom
DOS at the Fermi energy = 0.9502 states/eV/atom

Cell: 4.979 3.896 4.979 Å, 90.00 90.00 90.00°
Positions (direct):
Rh1 0.500 0.500 0.500
Mo1 0.000 0.500 0.000
Pb1 0.500 0.000 0.000
N1 0.000 0.000 0.000
Pb2 0.000 0.000 0.500


17.
A geometry-optimized PrTm4Sc3 structure. Source: the Alexandria database, functional PBE-GGA.

Properties
Excess energy over the best structure of this formula in the dataset = 156 meV per atom
Spin magnetization = 0.000 μB/cell
DOS at the Fermi energy = 2.1413 states/eV/atom

Cell: 3.304 8.546 8.546 Å, 81.95 78.85 78.85°
Positions (direct):
Tm1 0.367 0.878 0.388
Sc1 0.244 0.756 0.756
Sc2 0.000 0.500 0.500
Tm2 0.367 0.388 0.878
Tm3 0.633 0.122 0.612
Tm4 0.633 0.612 0.122
Sc3 0.756 0.244 0.244
Pr1 0.500 0.000 0.000


18.
A geometry-optimized Tm2GeRu structure. Source: the Alexandria database, functional PBE-GGA.

Properties
Calculated total energy = -0.2318 hartree per atom
Spin magnetization = 0.000 μB/cell
DOS at the Fermi energy = 0.5092 states/eV/atom

Cell: 3.425 3.425 6.991 Å, 90.00 90.00 90.00°
Positions (direct):
Ru1 0.500 0.500 0.000
Tm1 0.000 0.000 0.767
Ge1 0.500 0.500 0.500
Tm2 0.000 0.000 0.233


19.
A geometry-optimized CaTbErMg structure. Source: the Alexandria database, functional PBE-GGA.

Properties
Calculated total energy = -0.1141 hartree per atom
Spin magnetization = 0.000 μB/cell
DOS at the Fermi energy = 0.9593 states/eV/atom

Cell: 5.564 5.564 5.564 Å, 60.00 60.00 60.00°
Positions (direct):
Er1 0.750 0.750 0.750
Ca1 0.000 0.000 0.000
Mg1 0.500 0.500 0.500
Tb1 0.250 0.250 0.250


20.
A geometry-optimized CaCe2TmSe5 structure. Source: the Alexandria database, functional PBE-GGA.

Properties
Spin magnetization = 2.955 μB/cell
Formation energy from raw total energies = -1450 meV per atom
DOS at the Fermi energy = 2.0606 states/eV/atom

Cell: 5.119 5.119 10.778 Å, 90.00 90.00 90.00°
Site moments in Bohr magnetons follow the coordinates.
Positions (direct):
Se1 0.000 0.500 0.500  -0.01
Se2 0.500 0.000 0.500  -0.01
Ce1 0.500 0.500 0.702  1.31
Se3 0.000 0.000 0.247  -0.01
Ca1 0.000 0.000 0.000  0.00
Tm1 0.000 0.000 0.500  0.04
Ce2 0.500 0.500 0.298  1.31
Se4 0.000 0.000 0.753  -0.01
Se5 0.500 0.500 0.000  -0.01


21.
A geometry-optimized CaPm6Tm structure. Source: the Alexandria database, functional PBE-GGA.

Properties
Calculated total energy = -0.1590 hartree per atom
Spin magnetization = 0.000 μB/cell
DOS at the Fermi energy = 1.5000 states/eV/atom

Cell: 5.155 5.155 10.334 Å, 90.00 90.00 90.00°
Positions (direct):
Ca1 0.000 0.000 0.000
Pm1 0.000 0.500 0.258
Tm1 0.000 0.000 0.500
Pm2 0.500 0.500 0.500
Pm3 0.000 0.500 0.742
Pm4 0.500 0.000 0.258
Pm5 0.500 0.500 0.000
Pm6 0.500 0.000 0.742


22.
A geometry-optimized Ca3TeN structure. Source: the Alexandria database, functional PBE-GGA.

Properties
Excess energy over the best structure of this formula in the dataset = 0 meV per atom
Spin magnetization = 0.000 μB/cell
Formation energy from raw total energies = -1033 meV per atom
DOS at the Fermi energy = 0.4092 states/eV/atom

Cell: 4.891 4.891 4.891 Å, 90.00 90.00 90.00°
Positions (direct):
Ca1 0.500 0.000 0.000
N1 0.000 0.000 0.000
Te1 0.500 0.500 0.500
Ca2 0.000 0.000 0.500
Ca3 0.000 0.500 0.000


23.
A geometry-optimized NaCaIF2 structure. Source: the Alexandria database, functional PBE-GGA.

Properties
Spin magnetization = 0.000 μB/cell
Formation energy from raw total energies = -2649 meV per atom
DOS at the Fermi energy = 0.0000 states/eV/atom

Cell: 4.435 4.435 6.594 Å, 90.00 90.00 90.00°
Positions (direct):
F1 0.500 0.000 0.000
Ca1 0.000 0.000 0.000
F2 0.000 0.500 0.000
Na1 0.500 0.500 0.500
I1 0.000 0.000 0.500


24.
A geometry-optimized Na2TlAg2 structure. Source: the Alexandria database, functional PBE-GGA.

Properties
Excess energy over the best structure of this formula in the dataset = 110 meV per atom
Spin magnetization = 0.000 μB/cell
DOS at the Fermi energy = 0.2808 states/eV/atom

Cell: 8.881 8.881 3.116 Å, 90.00 90.00 90.00°
Positions (direct):
Na1 0.864 0.636 0.000
Na2 0.636 0.136 0.000
Na3 0.136 0.364 0.000
Tl1 0.000 0.000 0.000
Ag1 0.161 0.661 0.500
Ag2 0.339 0.161 0.500
Ag3 0.839 0.339 0.500
Ag4 0.661 0.839 0.500
Na4 0.364 0.864 0.000
Tl2 0.500 0.500 0.000


25.
A geometry-optimized BaBi6O8 structure. Source: the Alexandria database, functional PBE-GGA.

Properties
Spin magnetization = 0.000 μB/cell
Formation energy from raw total energies = -944 meV per atom
DOS at the Fermi energy = 0.4080 states/eV/atom

Cell: 7.535 7.535 7.314 Å, 59.00 59.00 60.00°
Positions (direct):
O1 0.166 0.885 0.317
O2 0.368 0.834 0.683
O3 0.885 0.632 0.317
O4 0.638 0.638 0.087
O5 0.632 0.166 0.317
Bi1 0.358 0.481 0.286
O6 0.362 0.362 0.913
Bi2 0.876 0.358 0.286
O7 0.834 0.115 0.683
Bi3 0.642 0.519 0.714
O8 0.115 0.368 0.683
Bi4 0.519 0.124 0.714
Bi5 0.481 0.876 0.286
Bi6 0.124 0.642 0.714
Ba1 0.000 0.000 0.000